(i)
A plane-wave DFT calculation with GGA-PBE was carried out for crystalline TlZnCl2 at its relaxed geometry.

Geometry as POSCAR:
```
TlZnCl2
1.0
7.426 0.066 0.000
5.046 5.449 0.000
-6.236 -2.758 2.943
Tl Zn Cl
1 1 2
Cartesian
6.236 2.758 0.000
3.713 0.033 1.471
0.000 0.000 0.000
2.523 2.724 1.471
```

Values from the calculation:
Magnetization (μB/atom): 0.000

(ii)
A plane-wave DFT calculation with GGA-PBE was carried out for crystalline TlZnCl2 at its relaxed geometry.

Geometry as POSCAR:
```
TlZnCl2
1.0
-6.276 -1.555 5.644
-3.128 -2.678 7.530
-4.104 1.033 7.466
Tl Zn Cl
1 1 2
Cartesian
-6.654 -1.576 10.167
-10.074 -2.387 15.393
-0.404 -0.096 0.617
-3.130 -0.742 4.783
```

Values from the calculation:
Magnetization (μB/atom): 0.000

(iii)
A plane-wave DFT calculation with GGA-PBE was carried out for crystalline TlZnCl2 at its relaxed geometry.

Geometry as POSCAR:
```
TlZnCl2
1.0
-0.341 -0.749 -10.280
-3.156 -2.782 -9.416
-3.521 0.769 -9.663
Tl Zn Cl
1 1 2
Cartesian
-1.754 -0.691 -7.340
-5.263 -2.072 -22.020
-0.262 -0.103 -1.097
-3.247 -1.278 -13.583
```

Values from the calculation:
Magnetization (μB/atom): 0.000

(iv)
A plane-wave DFT calculation with GGA-PBE was carried out for crystalline TlZnCl2 at its relaxed geometry.

Geometry as POSCAR:
```
TlZnCl2
1.0
6.103 -0.116 0.059
2.064 5.744 -0.059
-3.076 -4.277 3.084
Tl Zn Cl
1 1 2
Cartesian
1.536 2.141 1.512
3.555 -0.789 1.572
7.512 5.177 0.000
4.739 3.266 0.000
```

Values from the calculation:
Magnetization (μB/atom): 0.000

Which is most stable? The ranking, best first, is (iii), (iv), (ii), (i).

(i)
A plane-wave DFT calculation with GGA-PBE was carried out for crystalline TlZnCl2 at its relaxed geometry.

Geometry as POSCAR:
```
TlZnCl2
1.0
-2.402 2.137 2.348
1.992 -2.755 2.073
5.568 4.933 1.207
Tl Zn Cl
1 1 2
Cartesian
1.187 0.924 2.512
3.971 3.391 3.116
5.364 4.752 1.163
2.988 2.647 0.648
```

Values from the calculation:
Magnetization (μB/atom): 0.000

(ii)
A plane-wave DFT calculation with GGA-PBE was carried out for crystalline TlZnCl2 at its relaxed geometry.

Geometry as POSCAR:
```
TlZnCl2
1.0
3.873 0.000 0.000
0.000 3.815 -0.043
0.000 0.082 7.515
Tl Zn Cl
1 1 2
Cartesian
1.936 0.974 1.868
1.936 2.923 5.604
0.000 2.943 7.398
0.000 2.903 3.811
```

Values from the calculation:
Magnetization (μB/atom): 0.000

(iii)
A plane-wave DFT calculation with GGA-PBE was carried out for crystalline TlZnCl2 at its relaxed geometry.

Geometry as POSCAR:
```
TlZnCl2
1.0
-3.077 5.623 0.840
-5.597 3.153 0.729
1.377 -1.678 6.104
Tl Zn Cl
1 1 2
Cartesian
-5.116 5.078 3.106
-2.186 2.187 0.963
-7.505 7.526 2.853
-4.813 4.633 6.156
```

Values from the calculation:
Magnetization (μB/atom): 0.000

Which is most stable? The ranking, best first, is (iii), (ii), (i).